1.
This record from the Alexandria database describes a relaxed Mn2VCo5 crystal. The functional is PBE-GGA.

```
Mn2VCo5
1.0
-1.992 1.992 5.862
1.992 -1.992 5.862
1.992 1.992 -5.862
Mn V Co
2 1 5
direct
0.249 0.249 0.000 Mn
0.751 0.751 0.000 Mn
0.500 0.500 0.000 V
0.000 0.000 0.000 Co
0.124 0.624 0.500 Co
0.376 0.876 0.500 Co
0.624 0.124 0.500 Co
0.876 0.376 0.500 Co
```

Values from the calculation:
As for the space group: No. 139. The raw total energy is -7.878 eV/atom. Its crystal system is tetragonal.

---

2.
This record from the Alexandria database describes a relaxed MnV2Co6 crystal. The functional is PBE-GGA.

```
MnV2Co6
1.0
4.043 -2.420 0.000
4.043 2.420 0.000
-1.065 0.000 5.368
Mn V Co
1 2 6
direct
0.000 0.000 0.000 Mn
0.341 0.341 0.129 V
0.659 0.659 0.871 V
0.154 0.636 0.648 Co
0.161 0.161 0.719 Co
0.364 0.846 0.352 Co
0.636 0.154 0.648 Co
0.839 0.839 0.281 Co
0.846 0.364 0.352 Co
```

Values from the calculation:
As for the space group: No. 12. Its crystal system is monoclinic. Its relative energy among the computed polymorphs is 0 meV/atom.

---

3.
This record from the Alexandria database describes a relaxed Mn2V3Co crystal. The functional is PBE-GGA.

```
Mn2V3Co
1.0
2.883 0.000 0.000
0.000 2.883 0.000
0.000 0.000 8.621
Mn V Co
2 3 1
direct
0.000 0.000 0.167 Mn
0.000 0.000 0.833 Mn
0.500 0.500 0.000 V
0.500 0.500 0.329 V
0.500 0.500 0.671 V
0.000 0.000 0.500 Co
```

Values from the calculation:
As for the space group: No. 123. The raw total energy is -9.005 eV/atom. Its crystal system is tetragonal.

---

4.
This record from the Alexandria database describes a relaxed MnV2Co6 crystal. The functional is PBE-GGA.

```
MnV2Co6
1.0
4.763 0.000 0.000
-2.381 4.125 0.000
0.000 0.000 5.379
Mn V Co
1 2 6
direct
0.000 0.000 0.000 Mn
0.333 0.667 0.873 V
0.667 0.333 0.127 V
0.174 0.347 0.324 Co
0.174 0.826 0.324 Co
0.347 0.174 0.676 Co
0.653 0.826 0.324 Co
0.826 0.174 0.676 Co
0.826 0.653 0.676 Co
```

Values from the calculation:
As for the space group: No. 164. Its crystal system is trigonal. Its relative energy among the computed polymorphs is 32 meV/atom.

---

5.
This record from the Alexandria database describes a relaxed ZrMnVCo crystal. The functional is PBE-GGA.

```
ZrMnVCo
1.0
0.000 3.040 3.040
3.040 0.000 3.040
3.040 3.040 0.000
Zr Mn V Co
1 1 1 1
direct
0.000 0.000 0.000 Zr
0.250 0.250 0.250 Mn
0.500 0.500 0.500 V
0.750 0.750 0.750 Co
```

Values from the calculation:
As for the space group: No. 216. The raw total energy is -8.556 eV/atom. Its crystal system is cubic.

---

6.
This record from the Alexandria database describes a relaxed Mn2CoW crystal. The functional is PBE-GGA.

```
Mn2CoW
1.0
-3.268 3.268 2.551
3.268 -3.268 2.551
3.268 3.268 -2.551
Mn Co W
4 2 2
direct
0.109 0.625 0.984 Mn
0.375 0.359 0.484 Mn
0.641 0.125 0.016 Mn
0.875 0.891 0.516 Mn
0.000 0.000 0.000 Co
0.750 0.250 0.500 Co
0.250 0.750 0.500 W
0.500 0.500 0.000 W
```

Values from the calculation:
As for the space group: No. 122. Its crystal system is tetragonal. Its relative energy among the computed polymorphs is 611 meV/atom.

---

7.
This record from the Alexandria database describes a relaxed MnCo2W crystal. The functional is PBE-GGA.

```
MnCo2W
1.0
0.000 2.903 2.903
2.903 0.000 2.903
2.903 2.903 0.000
Mn Co W
1 2 1
direct
0.000 0.000 0.000 Mn
0.250 0.250 0.250 Co
0.500 0.500 0.500 Co
0.750 0.750 0.750 W
```

Values from the calculation:
As for the space group: No. 216. Its crystal system is cubic. Its relative energy among the computed polymorphs is 170 meV/atom.

---

8.
This record from the Alexandria database describes a relaxed MnCo2W crystal. The functional is PBE-GGA.

```
MnCo2W
1.0
4.178 -1.295 0.000
4.178 1.295 0.000
-0.754 0.000 4.438
Mn Co W
1 2 1
direct
0.000 0.000 0.000 Mn
0.489 0.489 0.444 Co
0.739 0.739 0.190 Co
0.242 0.242 0.694 W
```

Values from the calculation:
As for the space group: No. 8. Its crystal system is monoclinic. Its relative energy among the computed polymorphs is 153 meV/atom.

---

9.
This record from the Alexandria database describes a relaxed MnCo2W crystal. The functional is PBE-GGA.

```
MnCo2W
1.0
2.655 0.000 0.000
0.000 3.454 0.000
0.000 0.000 5.287
Mn Co W
1 2 1
direct
0.000 0.000 0.000 Mn
0.000 0.000 0.546 Co
0.500 0.500 0.784 Co
0.500 0.500 0.287 W
```

Values from the calculation:
As for the space group: No. 25. Its crystal system is orthorhombic. Its relative energy among the computed polymorphs is 138 meV/atom.

---

10.
This record from the Alexandria database describes a relaxed Mn3CoW2 crystal. The functional is PBE-GGA.

```
Mn3CoW2
1.0
2.331 1.346 3.937
-2.331 1.346 3.937
0.000 -2.691 3.937
Mn Co W
3 1 2
direct
0.000 0.500 0.500 Mn
0.500 0.000 0.500 Mn
0.500 0.500 0.000 Mn
0.500 0.500 0.500 Co
0.125 0.125 0.125 W
0.875 0.875 0.875 W
```

Values from the calculation:
As for the space group: No. 166. The raw total energy is -10.141 eV/atom. Its crystal system is trigonal.

---

11.
This record from the Alexandria database describes a relaxed MnCo2W crystal. The functional is PBE-GGA.

```
MnCo2W
1.0
-1.762 1.762 8.480
1.762 -1.762 8.480
1.762 1.762 -8.480
Mn Co W
2 4 2
direct
0.000 0.000 0.000 Mn
0.750 0.250 0.500 Mn
0.099 0.625 0.974 Co
0.375 0.349 0.474 Co
0.651 0.125 0.026 Co
0.875 0.901 0.526 Co
0.250 0.750 0.500 W
0.500 0.500 0.000 W
```

Values from the calculation:
As for the space group: No. 122. Its crystal system is tetragonal. Its relative energy among the computed polymorphs is 646 meV/atom.

---

12.
This record from the Alexandria database describes a relaxed MnCo2W crystal. The functional is PBE-GGA.

```
MnCo2W
1.0
1.345 0.777 8.279
-1.345 0.777 8.279
0.000 -1.553 8.279
Mn Co W
1 2 1
direct
0.000 0.000 0.000 Mn
0.253 0.253 0.253 Co
0.747 0.747 0.747 Co
0.500 0.500 0.500 W
```

Values from the calculation:
As for the space group: No. 166. Its crystal system is trigonal. Its relative energy among the computed polymorphs is 292 meV/atom.